Computed, not measured: an optimized crystal structure of GdLuFeIr at the PBE level of DFT.

a b c (Å): 4.7950 4.7950 4.7950
angles (deg): 60.00 60.00 60.00
Last column: nearest neighbours and their distance in Å.
Positions (direct):
Gd (0.0000, 0.0000, 0.0000)  4 Ir 2.94, 4 Fe 2.94
Lu (0.5000, 0.5000, 0.5000)  4 Fe 2.94, 4 Ir 2.94
Fe (0.2500, 0.2500, 0.2500)  4 Gd 2.94, 4 Lu 2.94
Ir (0.7500, 0.7500, 0.7500)  4 Gd 2.94, 4 Lu 2.94

Output
* size of the total moment: 1.39 μB per atom
* space group: F-43m, No. 216
* calculated total energy: -9.34 eV/atom